(1)
# YMnBe2

A relaxed structure of YMnBe2 (GGA-PBE, Alexandria via LeMat-Bulk).

```
YMnBe2
1.0
-1.100 -0.397 -3.620
-1.384 -3.328 -1.217
-5.412 0.216 -0.376
Be Mn Y
2 1 1
Direct
0.262 0.262 0.213 Be
0.941 0.941 0.179 Be
0.551 0.551 0.347 Mn
0.746 0.746 0.761 Y
```

Values from the calculation:
**E**: -5.7237 eV per atom
**Total moment**: 2.4 μB per cell
**Formation energy**: 0.048 eV per atom

(2)
# Tb2Ho8In

A relaxed structure of Tb2Ho8In (GGA-PBE, Alexandria via LeMat-Bulk).

```
Tb2Ho8In
1.0
-1.835 4.533 -0.606
-1.553 -1.631 -7.502
-6.410 -4.628 4.820
Ho Tb In
8 2 1
Direct
0.319 0.090 0.638 Ho
0.135 0.176 0.269 Ho
0.955 0.275 0.911 Ho
0.865 0.824 0.731 Ho
0.590 0.445 0.181 Ho
0.045 0.725 0.089 Ho
0.681 0.910 0.362 Ho
0.410 0.555 0.819 Ho
0.223 0.635 0.446 Tb
0.777 0.365 0.554 Tb
0.500 0.000 0.000 In
```

Values from the calculation:
**E**: -4.4826 eV per atom
**Total moment**: 0.0 μB per cell
**Formation energy**: -0.063 eV per atom

(3)
# ReSb3P

A relaxed structure of ReSb3P (GGA-PBE, Alexandria via LeMat-Bulk).

```
ReSb3P
1.0
-2.243 3.805 -2.587
-4.231 -0.573 2.825
1.810 3.376 3.396
Sb Re P
3 1 1
Direct
0.500 0.000 0.000 Sb
0.000 0.000 0.500 Sb
0.000 0.500 0.000 Sb
0.000 0.000 0.000 Re
0.500 0.500 0.500 P
```

Values from the calculation:
**E**: -5.1994 eV per atom
**Total moment**: 0.0 μB per cell